# Y2ZrZn

A relaxed Y2ZrZn crystal (PBEsol, the Alexandria database).

abc: 6.268 6.268 6.268
angles: 147.96 132.36 58.57
Positions (direct):
1 Y 0.000 0.000 0.000
2 Y 0.711 0.211 0.500
3 Zr 0.427 0.427 0.000
4 Zn 0.225 0.725 0.500

Properties
- DFT formation energy (eV/atom) = -0.119
- total magnetization (Bohr magnetons per cell) = 0.00
- uncorrected energy (eV per cell) = -24.79